[1]
# LiTaHg2W

LiTaHg2W at its PBEsol-relaxed geometry (SCAN, Alexandria).

Output
space group: P4/mmm

Cell: 4.299 4.299 4.555 Å, 90.00 90.00 90.00°
Element x y z (fractional)
Li  0.000  0.000  0.000
Ta  0.500  0.500  0.500
Hg  0.500  0.000  0.000
Hg  0.000  0.500  0.000
W  0.000  0.000  0.500

---

[2]
# LiTc4Hg

LiTc4Hg at its PBEsol-relaxed geometry (SCAN, Alexandria).

Output
space group: F-43m

Cell: 5.112 5.112 5.112 Å, 60.00 60.00 60.00°
Element x y z (fractional)
Tc  0.876  0.375  0.375
Tc  0.375  0.876  0.375
Tc  0.375  0.375  0.375
Tc  0.375  0.375  0.876
Li  0.000  0.000  0.000
Hg  0.750  0.750  0.750

---

[3]
# Li2TcHg

Li2TcHg at its PBEsol-relaxed geometry (SCAN, Alexandria).

Output
space group: Imm2

Cell: 2.697 4.610 5.404 Å, 115.25 104.45 90.00°
Element x y z (fractional)
Tc  0.495  0.495  0.990
Hg  0.265  0.765  0.529
Li  0.003  0.003  0.005
Li  0.737  0.237  0.475

---

Number 1: formation energy from the elements 1.1077 eV per atom, volume 84.2 Å³/cell. Number 2: formation energy from the elements 0.4863 eV per atom, volume 94.4 Å³/cell. Number 3: formation energy from the elements 0.2642 eV per atom, volume 58.4 Å³/cell.